1.
12
Lattice="4.1675 0.0000 0.0000 0.0000 4.1675 0.0000 0.0000 0.0000 12.5208" Properties=species:S:1:pos:R:3 comment="PBE-GGA Pm2PaPd9, optimized geometry" formation_energy_ev_per_atom=-0.839 sg=P4/mmm vol_a3_per_cell=217.5 total_magnetization_mub_per_fu=0.00 pbc="T T T"
Pm 0.0000 0.0000 4.2164
Pm 0.0000 0.0000 8.3044
Pa 0.0000 0.0000 0.0000
Pd 2.0838 2.0838 0.0000
Pd 2.0838 2.0838 4.1268
Pd 2.0838 2.0838 8.3940
Pd 2.0838 0.0000 1.9814
Pd 2.0838 0.0000 6.2604
Pd 2.0838 0.0000 10.5394
Pd 0.0000 2.0838 1.9814
Pd 0.0000 2.0838 6.2604
Pd 0.0000 2.0838 10.5394



2.
4
Lattice="5.0150 0.0000 0.0000 2.5075 4.3431 0.0000 2.5075 1.4477 4.0947" Properties=species:S:1:pos:R:3 comment="PBE-GGA NaPmAgPt, optimized geometry" formation_energy_ev_per_atom=-0.414 sg=F-43m vol_a3_per_cell=89.2 total_magnetization_mub_per_fu=0.00 pbc="T T T"
Na 5.0150 2.8954 2.0474
Ag 2.5075 1.4477 1.0237
Pt 7.5225 4.3431 3.0711
Pm 0.0000 0.0000 0.0000



3.
10
Lattice="4.9508 0.0000 0.0000 0.0000 4.9508 0.0000 0.0000 0.0000 11.0458" Properties=species:S:1:pos:R:3 comment="PBE-GGA Ba2NaSn3Au4, optimized geometry" formation_energy_ev_per_atom=-0.588 sg=P-4m2 vol_a3_per_cell=270.7 total_magnetization_mub_per_fu=0.00 pbc="T T T"
Ba 2.4754 0.0000 2.6428
Ba 0.0000 2.4754 8.4029
Na 2.4754 2.4754 5.5229
Sn 0.0000 0.0000 5.5229
Sn 2.4754 0.0000 9.6744
Sn 0.0000 2.4754 1.3713
Au 2.4754 2.4754 0.0000
Au 0.0000 0.0000 0.0000
Au 2.4754 0.0000 6.9372
Au 0.0000 2.4754 4.1086



4.
4
Lattice="3.1382 0.0259 0.0000 -0.6048 3.0795 0.0000 0.0000 0.0000 7.0715" Properties=species:S:1:pos:R:3 comment="PBE-GGA Cr2SiBr, optimized geometry" sg=Cmmm vol_a3_per_cell=68.5 raw_formation_energy_ev_per_atom=0.339 total_magnetization_mub_per_fu=6.66 de_polymorph_ev_per_atom=0.192 pbc="T T T"
Br 1.2667 1.5527 5.3037
Cr 0.0000 0.0000 0.3199
Cr 0.0000 0.0000 3.2159
Si 1.2667 1.5527 1.7679



5.
4
Lattice="0.0000 3.3934 3.3934 3.3934 0.0000 3.3934 3.3934 3.3934 0.0000" Properties=species:S:1:pos:R:3 comment="PBE-GGA Li2LaPd, optimized geometry" formation_energy_ev_per_atom=-0.137 sg=Fm-3m vol_a3_per_cell=78.1 total_magnetization_mub_per_fu=0.89 de_polymorph_ev_per_atom=0.214 pbc="T T T"
Li 1.6967 1.6967 1.6967
Li 5.0900 5.0900 5.0900
Pd 0.0000 0.0000 0.0000
La 3.3934 3.3934 3.3934